Record 1
! PBE-GGA FeAsHPd2, optimized geometry; values from VASP
! N(E_F)	4.00	states/eV per cell
! symmetry	P4/mmm, No. 123
! energy	-26.874	eV per formula unit
&SYSTEM
  ibrav = 0, nat = 5, ntyp = 4
/
ATOMIC_SPECIES
Fe 55.84 Fe.upf
As 74.92 As.upf
H 1.01 H.upf
Pd 106.42 Pd.upf
CELL_PARAMETERS angstrom
3.9254 0.0000 0.0000
0.0000 3.9254 0.0000
0.0000 0.0000 4.0585
ATOMIC_POSITIONS crystal
Fe 0.0000 0.0000 0.0000
As 0.5000 0.5000 0.0000
H 0.0000 0.0000 0.5000
Pd 0.0000 0.5000 0.5000
Pd 0.5000 0.0000 0.5000

Record 2
! PBE-GGA Fe2AsHPd, optimized geometry; values from VASP
! N(E_F)	3.75	states/eV per cell
! symmetry	P4/mmm, No. 123
! energy	-29.896	eV per formula unit
&SYSTEM
  ibrav = 0, nat = 5, ntyp = 4
/
ATOMIC_SPECIES
Fe 55.84 Fe.upf
As 74.92 As.upf
H 1.01 H.upf
Pd 106.42 Pd.upf
CELL_PARAMETERS angstrom
3.7583 0.0000 0.0000
0.0000 3.7583 0.0000
0.0000 0.0000 4.1099
ATOMIC_POSITIONS crystal
Fe 0.0000 0.5000 0.0000
Fe 0.5000 0.0000 0.0000
As 0.0000 0.0000 0.5000
H 0.5000 0.5000 0.0000
Pd 0.5000 0.5000 0.5000

Record 3
! PBE-GGA PuFeAsH2, optimized geometry; values from VASP
! N(E_F)	16.19	states/eV per cell
! symmetry	Cmcm, No. 63
! energy	-36.373	eV per formula unit
&SYSTEM
  ibrav = 0, nat = 10, ntyp = 4
/
ATOMIC_SPECIES
Pu 244.00 Pu.upf
Fe 55.84 Fe.upf
As 74.92 As.upf
H 1.01 H.upf
CELL_PARAMETERS angstrom
1.9398 -5.1522 0.0000
1.9398 5.1522 0.0000
0.0000 0.0000 5.6572
ATOMIC_POSITIONS crystal
Pu 0.2102 0.7898 0.7500
Pu 0.7898 0.2102 0.2500
Fe 0.5000 0.5000 0.0000
Fe 0.5000 0.5000 0.5000
As 0.0714 0.9286 0.2500
As 0.9286 0.0714 0.7500
H 0.3448 0.6552 0.0660
H 0.3448 0.6552 0.4340
H 0.6552 0.3448 0.5660
H 0.6552 0.3448 0.9340

Record 4
! PBE-GGA FeAsHRh2, optimized geometry; values from VASP
! N(E_F)	2.67	states/eV per cell
! symmetry	P4/mmm, No. 123
! energy	-31.285	eV per formula unit
&SYSTEM
  ibrav = 0, nat = 5, ntyp = 4
/
ATOMIC_SPECIES
Fe 55.84 Fe.upf
As 74.92 As.upf
H 1.01 H.upf
Rh 102.91 Rh.upf
CELL_PARAMETERS angstrom
3.8402 0.0000 0.0000
0.0000 3.8402 0.0000
0.0000 0.0000 3.7995
ATOMIC_POSITIONS crystal
Fe 0.0000 0.0000 0.0000
As 0.5000 0.5000 0.0000
H 0.0000 0.0000 0.5000
Rh 0.0000 0.5000 0.5000
Rh 0.5000 0.0000 0.5000

Record 5
! PBE-GGA Fe2AsHRh, optimized geometry; values from VASP
! N(E_F)	5.44	states/eV per cell
! symmetry	P4/mmm, No. 123
! energy	-32.187	eV per formula unit
&SYSTEM
  ibrav = 0, nat = 5, ntyp = 4
/
ATOMIC_SPECIES
Fe 55.84 Fe.upf
As 74.92 As.upf
H 1.01 H.upf
Rh 102.91 Rh.upf
CELL_PARAMETERS angstrom
3.6715 0.0000 0.0000
0.0000 3.6715 0.0000
0.0000 0.0000 4.1113
ATOMIC_POSITIONS crystal
Fe 0.0000 0.5000 0.0000
Fe 0.5000 0.0000 0.0000
As 0.0000 0.0000 0.5000
H 0.5000 0.5000 0.0000
Rh 0.5000 0.5000 0.5000

Record 6
! PBE-GGA Fe2AsHRu, optimized geometry; values from VASP
! N(E_F)	4.92	states/eV per cell
! symmetry	P4/mmm, No. 123
! energy	-33.742	eV per formula unit
&SYSTEM
  ibrav = 0, nat = 5, ntyp = 4
/
ATOMIC_SPECIES
Fe 55.84 Fe.upf
As 74.92 As.upf
H 1.01 H.upf
Ru 101.07 Ru.upf
CELL_PARAMETERS angstrom
3.6942 0.0000 0.0000
0.0000 3.6942 0.0000
0.0000 0.0000 3.9629
ATOMIC_POSITIONS crystal
Fe 0.0000 0.5000 0.0000
Fe 0.5000 0.0000 0.0000
As 0.0000 0.0000 0.5000
H 0.5000 0.5000 0.0000
Ru 0.5000 0.5000 0.5000

Record 7
! PBE-GGA FeAsHSe2, optimized geometry; values from VASP
! N(E_F)	5.20	states/eV per cell
! symmetry	P4/mmm, No. 123
! energy	-19.195	eV per formula unit
&SYSTEM
  ibrav = 0, nat = 5, ntyp = 4
/
ATOMIC_SPECIES
Fe 55.84 Fe.upf
As 74.92 As.upf
H 1.01 H.upf
Se 78.96 Se.upf
CELL_PARAMETERS angstrom
4.6279 0.0000 0.0000
0.0000 4.6279 0.0000
0.0000 0.0000 3.4242
ATOMIC_POSITIONS crystal
Fe 0.0000 0.0000 0.0000
As 0.5000 0.5000 0.0000
H 0.5000 0.5000 0.5000
Se 0.0000 0.5000 0.5000
Se 0.5000 0.0000 0.5000

Record 8
! PBE-GGA FeAsHSe2, optimized geometry; values from VASP
! N(E_F)	3.88	states/eV per cell
! symmetry	P4/mmm, No. 123
! energy	-19.367	eV per formula unit
&SYSTEM
  ibrav = 0, nat = 5, ntyp = 4
/
ATOMIC_SPECIES
Fe 55.84 Fe.upf
As 74.92 As.upf
H 1.01 H.upf
Se 78.96 Se.upf
CELL_PARAMETERS angstrom
4.6766 0.0000 0.0000
0.0000 4.6766 0.0000
0.0000 0.0000 4.4760
ATOMIC_POSITIONS crystal
Fe 0.0000 0.0000 0.0000
As 0.0000 0.0000 0.5000
H 0.5000 0.5000 0.5000
Se 0.0000 0.5000 0.0000
Se 0.5000 0.0000 0.0000

Record 9
! PBE-GGA TiFe2AsH, optimized geometry; values from VASP
! N(E_F)	10.86	states/eV per cell
! symmetry	Cmcm, No. 63
! energy	-33.898	eV per formula unit
&SYSTEM
  ibrav = 0, nat = 10, ntyp = 4
/
ATOMIC_SPECIES
Ti 47.87 Ti.upf
Fe 55.84 Fe.upf
As 74.92 As.upf
H 1.01 H.upf
CELL_PARAMETERS angstrom
1.8277 -4.7252 0.0000
1.8277 4.7252 0.0000
0.0000 0.0000 6.6528
ATOMIC_POSITIONS crystal
Ti 0.0628 0.9372 0.7500
Ti 0.9372 0.0628 0.2500
Fe 0.3418 0.6582 0.5541
Fe 0.3418 0.6582 0.9459
Fe 0.6582 0.3418 0.0541
Fe 0.6582 0.3418 0.4459
As 0.2211 0.7789 0.2500
As 0.7789 0.2211 0.7500
H 0.5000 0.5000 0.0000
H 0.5000 0.5000 0.5000

Record 10
! PBE-GGA TiFe2AsH, optimized geometry; values from VASP
! N(E_F)	3.83	states/eV per cell
! symmetry	P4/mmm, No. 123
! energy	-34.196	eV per formula unit
&SYSTEM
  ibrav = 0, nat = 5, ntyp = 4
/
ATOMIC_SPECIES
Ti 47.87 Ti.upf
Fe 55.84 Fe.upf
As 74.92 As.upf
H 1.01 H.upf
CELL_PARAMETERS angstrom
3.6990 0.0000 0.0000
0.0000 3.6990 0.0000
0.0000 0.0000 4.0394
ATOMIC_POSITIONS crystal
Ti 0.0000 0.0000 0.0000
Fe 0.0000 0.5000 0.5000
Fe 0.5000 0.0000 0.5000
As 0.5000 0.5000 0.0000
H 0.0000 0.0000 0.5000

Record 11
! PBE-GGA V2FeAsH, optimized geometry; values from VASP
! N(E_F)	5.06	states/eV per cell
! symmetry	P4/mmm, No. 123
! energy	-35.540	eV per formula unit
&SYSTEM
  ibrav = 0, nat = 5, ntyp = 4
/
ATOMIC_SPECIES
V 50.94 V.upf
Fe 55.84 Fe.upf
As 74.92 As.upf
H 1.01 H.upf
CELL_PARAMETERS angstrom
3.7465 0.0000 0.0000
0.0000 3.7465 0.0000
0.0000 0.0000 3.8144
ATOMIC_POSITIONS crystal
V 0.0000 0.5000 0.0000
V 0.5000 0.0000 0.0000
Fe 0.0000 0.0000 0.5000
As 0.5000 0.5000 0.5000
H 0.0000 0.0000 0.0000

Record 12
! PBE-GGA FeAs2HW, optimized geometry; values from VASP
! N(E_F)	4.25	states/eV per cell
! symmetry	P4/mmm, No. 123
! energy	-27.189	eV per formula unit
&SYSTEM
  ibrav = 0, nat = 5, ntyp = 4
/
ATOMIC_SPECIES
Fe 55.84 Fe.upf
As 74.92 As.upf
H 1.01 H.upf
W 183.84 W.upf
CELL_PARAMETERS angstrom
4.3846 0.0000 0.0000
0.0000 4.3846 0.0000
0.0000 0.0000 4.7429
ATOMIC_POSITIONS crystal
Fe 0.0000 0.0000 0.0000
As 0.0000 0.5000 0.0000
As 0.5000 0.0000 0.0000
H 0.5000 0.5000 0.5000
W 0.0000 0.0000 0.5000

Record 13
! PBE-GGA FeAsH2W, optimized geometry; values from VASP
! N(E_F)	3.59	states/eV per cell
! symmetry	P4/mmm, No. 123
! energy	-27.786	eV per formula unit
&SYSTEM
  ibrav = 0, nat = 5, ntyp = 4
/
ATOMIC_SPECIES
Fe 55.84 Fe.upf
As 74.92 As.upf
H 1.01 H.upf
W 183.84 W.upf
CELL_PARAMETERS angstrom
3.4158 0.0000 0.0000
0.0000 3.4158 0.0000
0.0000 0.0000 5.1473
ATOMIC_POSITIONS crystal
Fe 0.0000 0.0000 0.0000
As 0.0000 0.0000 0.5000
H 0.0000 0.5000 0.5000
H 0.5000 0.0000 0.5000
W 0.5000 0.5000 0.0000

Record 14
! PBE-GGA Zn2FeAsH, optimized geometry; values from VASP
! N(E_F)	3.75	states/eV per cell
! symmetry	P4/mmm, No. 123
! energy	-15.792	eV per formula unit
&SYSTEM
  ibrav = 0, nat = 5, ntyp = 4
/
ATOMIC_SPECIES
Zn 65.41 Zn.upf
Fe 55.84 Fe.upf
As 74.92 As.upf
H 1.01 H.upf
CELL_PARAMETERS angstrom
4.9785 0.0000 0.0000
0.0000 4.9785 0.0000
0.0000 0.0000 3.1803
ATOMIC_POSITIONS crystal
Zn 0.0000 0.5000 0.0000
Zn 0.5000 0.0000 0.0000
Fe 0.0000 0.0000 0.5000
As 0.5000 0.5000 0.0000
H 0.5000 0.5000 0.5000

Record 15
! PBE-GGA ZrFeAsH2, optimized geometry; values from VASP
! N(E_F)	3.81	states/eV per cell
! symmetry	P4/mmm, No. 123
! energy	-28.365	eV per formula unit
&SYSTEM
  ibrav = 0, nat = 5, ntyp = 4
/
ATOMIC_SPECIES
Zr 91.22 Zr.upf
Fe 55.84 Fe.upf
As 74.92 As.upf
H 1.01 H.upf
CELL_PARAMETERS angstrom
3.6673 0.0000 0.0000
0.0000 3.6673 0.0000
0.0000 0.0000 4.6097
ATOMIC_POSITIONS crystal
Zr 0.0000 0.0000 0.0000
Fe 0.5000 0.5000 0.5000
As 0.5000 0.5000 0.0000
H 0.0000 0.5000 0.5000
H 0.5000 0.0000 0.5000

Record 16
! PBE-GGA HfFeAs, optimized geometry; values from VASP
! N(E_F)	4.99	states/eV per cell
! energy of formation	-0.4471	eV per atom
! symmetry	Cm, No. 8
! energy	-24.407	eV per formula unit
&SYSTEM
  ibrav = 0, nat = 6, ntyp = 3
/
ATOMIC_SPECIES
Hf 178.49 Hf.upf
Fe 55.84 Fe.upf
As 74.92 As.upf
CELL_PARAMETERS angstrom
4.7852 -1.7475 0.0000
4.7852 1.7475 0.0000
-1.0634 0.0000 5.7346
ATOMIC_POSITIONS crystal
Hf 0.0000 0.0000 0.0000
Hf 0.7438 0.7438 0.3614
Fe 0.0804 0.0804 0.5912
Fe 0.3586 0.3586 0.6834
As 0.4599 0.4599 0.3419
As 0.7067 0.7067 0.8517

Record 17
! PBE-GGA Hf8FeAs2, optimized geometry; values from VASP
! N(E_F)	6.83	states/eV per cell
! energy of formation	-0.3769	eV per atom
! symmetry	C2/m, No. 12
! energy	-101.535	eV per formula unit
&SYSTEM
  ibrav = 0, nat = 11, ntyp = 3
/
ATOMIC_SPECIES
Hf 178.49 Hf.upf
Fe 55.84 Fe.upf
As 74.92 As.upf
CELL_PARAMETERS angstrom
8.0930 -1.8800 0.0000
8.0930 1.8800 0.0000
-0.7040 0.0000 7.2636
ATOMIC_POSITIONS crystal
Hf 0.0068 0.0068 0.2212
Hf 0.2083 0.2083 0.3500
Hf 0.3424 0.3424 0.9830
Hf 0.4081 0.4081 0.4827
Hf 0.5919 0.5919 0.5173
Hf 0.6576 0.6576 0.0170
Hf 0.7917 0.7917 0.6500
Hf 0.9932 0.9932 0.7788
Fe 0.5000 0.5000 0.0000
As 0.1793 0.1793 0.7439
As 0.8207 0.8207 0.2561

Record 18
! PBE-GGA Hf4FeAs, optimized geometry; values from VASP
! N(E_F)	7.32	states/eV per cell
! energy of formation	-0.2414	eV per atom
! symmetry	C2/c, No. 15
! energy	-54.375	eV per formula unit
&SYSTEM
  ibrav = 0, nat = 12, ntyp = 3
/
ATOMIC_SPECIES
Hf 178.49 Hf.upf
Fe 55.84 Fe.upf
As 74.92 As.upf
CELL_PARAMETERS angstrom
4.2425 -6.2024 0.0000
4.2425 6.2024 0.0000
-4.2382 0.0000 4.7006
ATOMIC_POSITIONS crystal
Hf 0.0267 0.5289 0.7593
Hf 0.2665 0.2710 0.2425
Hf 0.2710 0.2665 0.7425
Hf 0.4711 0.9733 0.7407
Hf 0.5289 0.0267 0.2593
Hf 0.7290 0.7335 0.2575
Hf 0.7335 0.7290 0.7575
Hf 0.9733 0.4711 0.2407
Fe 0.3755 0.6245 0.7500
Fe 0.6245 0.3755 0.2500
As 0.1249 0.8751 0.2500
As 0.8751 0.1249 0.7500

Record 19
! PBE-GGA HfFe2As, optimized geometry; values from VASP
! N(E_F)	8.03	states/eV per cell
! energy of formation	0.2509	eV per atom
! symmetry	I-42d, No. 122
! energy	-30.525	eV per formula unit
&SYSTEM
  ibrav = 0, nat = 8, ntyp = 3
/
ATOMIC_SPECIES
Hf 178.49 Hf.upf
Fe 55.84 Fe.upf
As 74.92 As.upf
CELL_PARAMETERS angstrom
-3.3744 3.3744 2.7045
3.3744 -3.3744 2.7045
3.3744 3.3744 -2.7045
ATOMIC_POSITIONS crystal
Hf 0.0000 0.0000 0.0000
Hf 0.7500 0.2500 0.5000
Fe 0.1812 0.6250 0.0562
Fe 0.3750 0.4312 0.5562
Fe 0.5688 0.1250 0.9438
Fe 0.8750 0.8188 0.4438
As 0.2500 0.7500 0.5000
As 0.5000 0.5000 0.0000

Record 20
! PBE-GGA HfFeAs, optimized geometry; values from VASP
! N(E_F)	2.87	states/eV per cell
! energy of formation	-0.5160	eV per atom
! symmetry	C2/m, No. 12
! energy	-24.614	eV per formula unit
&SYSTEM
  ibrav = 0, nat = 6, ntyp = 3
/
ATOMIC_SPECIES
Hf 178.49 Hf.upf
Fe 55.84 Fe.upf
As 74.92 As.upf
CELL_PARAMETERS angstrom
4.7571 -2.0020 0.0000
4.7571 2.0020 0.0000
-1.4233 0.0000 5.0768
ATOMIC_POSITIONS crystal
Hf 0.1274 0.1274 0.3190
Hf 0.8726 0.8726 0.6810
Fe 0.2021 0.2021 0.8278
Fe 0.7979 0.7979 0.1722
As 0.4104 0.4104 0.2126
As 0.5896 0.5896 0.7874

Calculated volume values (in Å³ per cell) by entry order: 62.5; 58.0; 113.1; 56.0; 55.4; 54.1; 73.3; 97.9; 114.9; 55.3; 53.5; 91.2; 60.1; 78.8; 62.0; 95.9; 221.0; 247.4; 123.2; 96.7.